(1)
Here is crystalline PmAl2Cu4 at its relaxed geometry from OQMD via LeMat-Bulk. Energies are from PBE.

Unit cell a=6.4686 b=6.4686 c=5.1958 alpha=90.00 beta=90.00 gamma=90.00
Closest atoms and distances in Å follow each position.
Space group I4/mmm (No. 139)
Unique sites:
Pm  0.0000  0.0000  0.0000 [2 per cell]  12 Cu 2.83-3.13
Al  0.0000  0.5000  0.2500 [4 per cell]  2 Al 2.60, 8 Cu 2.69
Cu  0.1904  0.1904  0.5000 [8 per cell]  2 Cu 2.46, 4 Al 2.69

Properties
- Calculated total energy: -4.200 eV/atom



(2)
Here is crystalline ZnTc at its relaxed geometry from OQMD via LeMat-Bulk. Energies are from PBE.

Unit cell a=4.3872 b=5.2624 c=9.9546 alpha=90.00 beta=90.00 gamma=90.00
Closest atoms and distances in Å follow each position.
Space group Pmmn (No. 59, origin choice 2)
Unique sites:
Zn  0.2500  0.0010  0.0745 [4 per cell]  8 Zn 2.62-2.83, 4 Tc 2.77-2.89
Zn  0.2500  0.2500  0.3254 [2 per cell]  10 Tc 2.61-2.81, 2 Zn 2.82
Zn  0.2500  0.2500  0.8228 [2 per cell]  6 Tc 2.63-2.86, 6 Zn 2.76-2.83
Tc  0.2500  0.5127  0.5712 [4 per cell]  8 Tc 2.50-2.77, 2 Zn 2.73
Tc  0.2500  0.7500  0.3298 [2 per cell]  6 Zn 2.63-2.86, 6 Tc 2.71-2.77
Tc  0.2500  0.7500  0.8168 [2 per cell]  10 Zn 2.61-2.89, 2 Tc 2.75

Properties
- Energy of formation from the pure elements: 0.091 eV per atom
- Calculated total energy: -5.721 eV/atom



Ρ values (in Mg/m³) by entry order: 6.92, 9.45.